Density functional theory data (GGA-PBEsol) for crystalline Li2V3SnO8 at its relaxed geometry.

a = 8.4230 Å, b = 8.4190 Å, c = 8.4277 Å
α = 90.00°, β = 90.00°, γ = 90.00°
Last column: nearest neighbours and their distance in Å.
Fractional positions:
Li1 0.3879 0.8877 0.6120  6 O 2.11-2.32
Li2 0.8879 0.6123 0.3880  6 O 2.11-2.32
O1 0.3652 0.6193 0.6649  2 V 1.84-1.93, 1 Li 2.00
Li3 0.5118 0.5117 0.5117  4 O 1.92-2.00
O2 0.5880 0.4215 0.1352  2 V 1.92-1.94, 1 Li 2.11, 1 Sn 2.14
V1 0.8819 0.3503 0.6360  5 O 1.84-1.94
O3 0.1322 0.3679 0.6322  1 Sn 2.09, 3 V 2.11-2.12
O4 0.1348 0.3807 0.1649  2 V 1.84-1.93, 1 Li 2.00
Li4 0.4882 0.0117 0.9883  4 O 1.92-2.00
O5 0.1200 0.6200 0.8798  1 Li 1.92, 3 V 1.94
O6 0.9219 0.3646 0.4120  2 V 1.92-1.94, 1 Li 2.11, 1 Sn 2.14
O7 0.6356 0.9118 0.5781  2 V 1.92-1.94, 1 Li 2.12, 1 Sn 2.14
Sn1 0.7752 0.2753 0.2249  4 O 2.09-2.14
O8 0.8652 0.8807 0.3351  2 V 1.84-1.93, 1 Li 2.00
O9 0.8351 0.6349 0.1192  2 V 1.84-1.93, 1 Li 2.00
O10 0.0880 0.0785 0.8648  2 V 1.92-1.94, 1 Li 2.11, 1 Sn 2.14
O11 0.3678 0.6321 0.1322  1 Sn 2.09, 3 V 2.11-2.12
O12 0.8678 0.8679 0.8678  1 Sn 2.09, 3 V 2.11-2.12
O13 0.9120 0.5785 0.6352  2 V 1.92-1.94, 1 Li 2.11, 1 Sn 2.14
O14 0.6649 0.3651 0.6192  2 V 1.84-1.93, 1 Li 2.00
O15 0.6196 0.6645 0.3649  2 V 1.84-1.93, 1 Li 2.00
O16 0.3644 0.4118 0.9219  2 V 1.92-1.94, 1 Li 2.12, 1 Sn 2.14
Li5 0.9882 0.4883 0.0117  4 O 1.92-2.00
V2 0.3819 0.1497 0.3640  5 O 1.84-1.94
O17 0.8800 0.1200 0.6202  1 Li 1.92, 3 V 1.94
O18 0.6200 0.8800 0.1202  1 Li 1.92, 3 V 1.94
O19 0.6322 0.1321 0.3678  1 Sn 2.09, 3 V 2.11-2.12
V3 0.3639 0.3816 0.1498  5 O 1.84-1.94
Sn2 0.7248 0.7247 0.7249  4 O 2.09-2.14
O20 0.3351 0.8651 0.8808  2 V 1.84-1.93, 1 Li 2.00
O21 0.8644 0.0882 0.0781  2 V 1.92-1.94, 1 Li 2.12, 1 Sn 2.14
O22 0.1196 0.8355 0.6351  2 V 1.84-1.93, 1 Li 2.00
V4 0.8639 0.1184 0.8502  5 O 1.84-1.94
V5 0.8502 0.8640 0.1182  5 O 1.84-1.94
O23 0.6348 0.1193 0.8351  2 V 1.84-1.93, 1 Li 2.00
O24 0.4219 0.1354 0.5880  2 V 1.92-1.94, 1 Li 2.11, 1 Sn 2.14
Sn3 0.2248 0.7753 0.2751  4 O 2.09-2.14
O25 0.1649 0.1349 0.3808  2 V 1.84-1.93, 1 Li 2.00
V6 0.6361 0.8816 0.3502  5 O 1.84-1.94
O26 0.8804 0.3355 0.8649  2 V 1.84-1.93, 1 Li 2.00
O27 0.3800 0.3800 0.3798  1 Li 1.92, 3 V 1.94
O28 0.5781 0.6354 0.9120  2 V 1.92-1.94, 1 Li 2.11, 1 Sn 2.14
O29 0.0781 0.8646 0.0880  2 V 1.92-1.94, 1 Li 2.11, 1 Sn 2.14
O30 0.3804 0.1645 0.1351  2 V 1.84-1.93, 1 Li 2.00
Sn4 0.2752 0.2247 0.7751  4 O 2.09-2.14
V7 0.6498 0.1360 0.6182  5 O 1.84-1.94
Li6 0.0118 0.9883 0.4883  4 O 1.92-2.00
Li7 0.1121 0.1123 0.1120  6 O 2.11-2.32
O31 0.1356 0.5882 0.4219  2 V 1.92-1.94, 1 Li 2.12, 1 Sn 2.14
Li8 0.6121 0.3877 0.8880  6 O 2.11-2.32
V8 0.6181 0.6497 0.1360  5 O 1.84-1.94
O32 0.4120 0.9215 0.3648  2 V 1.92-1.94, 1 Li 2.11, 1 Sn 2.14
V9 0.1181 0.8503 0.8640  5 O 1.84-1.94
V10 0.3502 0.6360 0.8818  5 O 1.84-1.94
V11 0.1361 0.6184 0.6498  5 O 1.84-1.94
V12 0.1498 0.3640 0.3818  5 O 1.84-1.94

ΔE_f (raw) ... -2.144 eV per atom
Space-group type ... P2_13 (198)
Relative energy among the computed polymorphs ... 26 meV/atom